Version w
A relaxed Pm3HoS4 crystal, computed with PBE.

a = 5.656 Å, b = 5.656 Å, c = 5.656 Å
α = 90.00°, β = 90.00°, γ = 90.00°
Sites, in units of the cell vectors:
1 Pm 0.000 0.500 0.500
2 Pm 0.500 0.000 0.500
3 Pm 0.500 0.500 0.000
4 Ho 0.000 0.000 0.000
5 S 0.500 0.000 0.000
6 S 0.000 0.500 0.000
7 S 0.000 0.000 0.500
8 S 0.500 0.500 0.500



Version x
A relaxed Pm3HoS4 crystal, computed with PBE.

a = 6.930 Å, b = 6.964 Å, c = 7.935 Å
α = 90.00°, β = 90.00°, γ = 109.38°
Sites, in units of the cell vectors:
1 S 0.995 0.245 0.630
2 S 0.500 0.240 0.880
3 S 0.495 0.245 0.370
4 S 0.000 0.240 0.120
5 S 0.000 0.760 0.880
6 S 0.505 0.755 0.630
7 S 0.500 0.760 0.120
8 S 0.005 0.755 0.370
9 Ho 0.750 0.000 0.874
10 Ho 0.250 0.000 0.126
11 Pm 0.750 0.000 0.376
12 Pm 0.250 0.000 0.624
13 Pm 0.750 0.500 0.623
14 Pm 0.750 0.500 0.126
15 Pm 0.250 0.500 0.377
16 Pm 0.250 0.500 0.874



Stability summary: most stable version x, least stable version w.



Version w
A relaxed Pm2HoS4 crystal, computed with PBE.

a = 8.191 Å, b = 8.191 Å, c = 8.196 Å
α = 119.94°, β = 119.96°, γ = 90.05°
Sites, in units of the cell vectors:
1 Pm 0.625 0.375 0.750
2 Pm 0.625 0.875 0.250
3 Pm 0.625 0.375 0.250
4 Pm 0.125 0.375 0.750
5 Ho 0.250 0.750 0.500
6 Ho 0.000 0.000 0.000
7 S 0.871 0.130 0.260
8 S 0.379 0.620 0.240
9 S 0.870 0.611 0.740
10 S 0.870 0.129 0.740
11 S 0.389 0.130 0.260
12 S 0.380 0.139 0.760
13 S 0.380 0.621 0.760
14 S 0.861 0.620 0.240



Version x
A relaxed Pm2HoS4 crystal, computed with PBE.

a = 7.941 Å, b = 7.927 Å, c = 7.927 Å
α = 61.05°, β = 59.94°, γ = 59.94°
Sites, in units of the cell vectors:
1 Pm 0.000 0.000 0.000
2 Pm 0.000 0.000 0.500
3 Pm 0.000 0.500 0.500
4 Pm 0.500 0.000 0.500
5 Ho 0.500 0.500 0.000
6 Ho 0.000 0.500 0.000
7 S 0.254 0.254 0.238
8 S 0.746 0.262 0.246
9 S 0.254 0.738 0.754
10 S 0.746 0.746 0.762
11 S 0.759 0.746 0.246
12 S 0.751 0.254 0.754
13 S 0.249 0.746 0.246
14 S 0.241 0.254 0.754



Stability summary: most stable version x, least stable version w.